(1)
VASP calculation (GGA-PBE) on a relaxed Cs3La3SmTe8 crystal.

Properties
For the total energy, the calculation gives -4.5396 eV per atom. Its symmetry is C2/m. Its calculated volume is 46.0 Å³ per atom.

POSCAR file:
```
Cs3La3SmTe8
1.0
9.345 0.001 0.000
-4.672 8.103 -0.036
0.000 -5.368 9.139
Te La Sm Cs
8 3 1 3
Cartesian
7.055 -1.367 2.816
0.000 2.711 2.749
4.673 2.765 2.798
4.673 0.024 6.354
0.000 -0.030 6.305
-2.382 4.102 6.287
2.290 -1.367 2.816
2.383 4.102 6.287
4.673 -2.684 4.570
-2.336 1.367 4.551
2.337 1.368 4.551
0.000 -2.684 4.569
0.000 0.000 0.000
2.337 4.052 -0.018
-2.336 4.051 -0.018
```

---

(2)
VASP calculation (GGA-PBE) on a relaxed Ac2GaSi3Au4 crystal.

Properties
For the total energy, the calculation gives -4.6914 eV per atom. Its symmetry is P-4m2. Its calculated volume is 21.3 Å³ per atom.

POSCAR file:
```
Ac2GaSi3Au4
1.0
4.500 0.000 0.000
0.000 4.500 0.000
0.000 0.000 10.510
Au Ga Si Ac
4 1 3 2
Cartesian
2.250 0.000 6.631
2.250 2.250 0.000
0.000 0.000 0.000
0.000 2.250 3.879
2.250 2.250 5.255
0.000 2.250 1.358
0.000 0.000 5.255
2.250 0.000 9.151
0.000 2.250 7.907
2.250 0.000 2.603
```

---

(3)
VASP calculation (GGA-PBE) on a relaxed Pu5Ge4Au crystal.

Properties
For the total energy, the calculation gives -9.6624 eV per atom. Its symmetry is P4/mmm. As for the formation energy: -0.322 eV per atom. Its calculated volume is 21.2 Å³ per atom.

POSCAR file:
```
Pu5Ge4Au
1.0
3.850 0.000 0.000
0.000 3.850 0.000
0.000 0.000 14.308
Ge Pu Au
4 5 1
Cartesian
0.000 0.000 11.189
0.000 0.000 5.846
0.000 0.000 8.461
0.000 0.000 3.119
1.925 1.925 4.589
1.925 1.925 1.617
1.925 1.925 9.718
1.925 1.925 7.154
1.925 1.925 12.690
0.000 0.000 0.000
```

---

(4)
VASP calculation (GGA-PBE) on a relaxed CaHg crystal.

Properties
For the total energy, the calculation gives -1.1675 eV per atom. Its symmetry is F-43m. As for the formation energy: -0.016 eV per atom. Its calculated volume is 41.9 Å³ per atom.

POSCAR file:
```
CaHg
1.0
6.945 0.000 0.000
0.000 6.945 0.000
0.000 0.000 6.945
Ca Hg
4 4
Cartesian
5.209 1.736 5.209
1.736 5.209 5.209
1.736 1.736 1.736
5.209 5.209 1.736
0.000 0.000 0.000
0.000 3.473 3.473
3.473 3.473 0.000
3.473 0.000 3.473
```

---

(5)
VASP calculation (GGA-PBE) on a relaxed HfFeAg2Au crystal.

Properties
For the total energy, the calculation gives -4.0346 eV per atom. Its symmetry is P4/mmm. As for the formation energy: 1.445 eV per atom. Its calculated volume is 27.5 Å³ per atom.

POSCAR file:
```
HfFeAg2Au
1.0
5.189 0.000 0.000
0.000 5.189 0.000
0.000 0.000 5.116
Fe Hf Ag Au
1 1 2 1
Cartesian
2.594 2.594 2.558
0.000 0.000 0.000
0.000 2.594 0.000
2.594 0.000 0.000
0.000 0.000 2.558
```

---

(6)
VASP calculation (GGA-PBE) on a relaxed Ta4B crystal.

Properties
For the total energy, the calculation gives -10.6768 eV per atom. Its symmetry is I4/m. As for the formation energy: 0.141 eV per atom. The relative energy among the computed polymorphs comes out at 130.0 meV/atom. Its calculated volume is 16.2 Å³ per atom.

POSCAR file:
```
Ta4B
1.0
-1.640 2.198 -0.214
-2.683 -0.752 -4.852
-4.755 -1.585 2.485
B Ta
1 4
Cartesian
0.000 0.000 0.000
-4.698 -0.009 0.561
-2.236 -0.053 -1.093
-4.380 -0.131 -3.140
-6.842 -0.087 -1.487
```

---

- What is the formula in the third record?
  Pu5Ge4Au